MnCrTcO6 | PBE with a Hubbard U | optimized geometry

Cell and atoms, written as POSCAR:
```
MnCrTcO6
1.0
-1.026 -3.500 3.544
1.064 -1.437 -4.760
8.905 -0.455 2.128
O Mn Cr Tc
12 2 2 2
Direct
0.013 0.363 0.634
0.650 0.637 0.134
0.637 0.987 0.866
0.650 0.013 0.366
0.350 0.987 0.634
0.987 0.350 0.134
0.637 0.650 0.634
0.363 0.350 0.366
0.350 0.363 0.866
0.013 0.650 0.866
0.987 0.637 0.366
0.363 0.013 0.134
0.000 0.000 0.000
0.000 0.000 0.500
0.333 0.667 0.250
0.667 0.333 0.750
0.667 0.333 0.250
0.333 0.667 0.750
```

Summary:
calculated density	4868	kg/m³
calculated total energy	-7.622	eV/atom